Record 1
Entry from the Alexandria database: crystalline GePPdO2 at its relaxed geometry (GGA-PBE).

Results
As for the electronic total energy: -4.784 eV/atom. The uncorrected formation energy is 23 kJ per mole of atoms. The spin magnetization is 0.86 μB/cell. As for the excess energy over the best structure of this formula in the dataset: 0.506 eV per atom.

Lattice parameters (Å, degrees): 3.9192 3.9192 4.8893 90.00 90.00 90.00
Fractional positions:
1 Ge 0.0000 0.0000 0.0000
2 P 0.5000 0.5000 0.0000
3 Pd 0.5000 0.5000 0.5000
4 O 0.0000 0.5000 0.5000
5 O 0.5000 0.0000 0.5000



Record 2
Entry from the Alexandria database: crystalline GePPdO2 at its relaxed geometry (GGA-PBE).

Results
As for the electronic total energy: -5.290 eV/atom. The uncorrected formation energy is -25 kJ per mole of atoms. The spin magnetization is 0.00 μB/cell. As for the excess energy over the best structure of this formula in the dataset: 0.000 eV per atom.

Lattice parameters (Å, degrees): 3.5233 3.5233 6.2018 90.00 90.00 90.00
Fractional positions:
1 Ge 0.0000 0.0000 0.0000
2 P 0.0000 0.0000 0.5000
3 Pd 0.5000 0.5000 0.5000
4 O 0.0000 0.5000 0.0000
5 O 0.5000 0.0000 0.0000



Record 3
Entry from the Alexandria database: crystalline Pr3GePO9 at its relaxed geometry (GGA-PBE).

Results
As for the electronic total energy: -7.814 eV/atom. The uncorrected formation energy is -278 kJ per mole of atoms. The spin magnetization is 0.00 μB/cell.

Lattice parameters (Å, degrees): 7.1311 12.6155 9.8642 90.00 115.93 90.00
Fractional positions:
1 Pr 0.0381 0.1332 0.3705
2 Pr 0.0381 0.3668 0.8705
3 Pr 0.3648 0.6096 0.8752
4 Pr 0.3648 0.8904 0.3752
5 Pr 0.3880 0.1290 0.1444
6 Pr 0.3880 0.3710 0.6444
7 Pr 0.6120 0.6290 0.3556
8 Pr 0.6120 0.8710 0.8556
9 Pr 0.6352 0.1096 0.6248
10 Pr 0.6352 0.3903 0.1248
11 Pr 0.9619 0.6332 0.1295
12 Pr 0.9619 0.8668 0.6295
13 Ge 0.1959 0.1024 0.7355
14 Ge 0.1959 0.3976 0.2355
15 Ge 0.8041 0.6024 0.7645
16 Ge 0.8041 0.8976 0.2645
17 P 0.2212 0.6633 0.5229
18 P 0.2212 0.8367 0.0229
19 P 0.7788 0.1633 0.9771
20 P 0.7788 0.3367 0.4771
21 O 0.0014 0.1564 0.1080
22 O 0.0014 0.3436 0.6080
23 O 0.0621 0.5750 0.9114
24 O 0.0621 0.9250 0.4114
25 O 0.1769 0.1745 0.8804
26 O 0.1769 0.3255 0.3804
27 O 0.2390 0.7434 0.6501
28 O 0.2390 0.7566 0.1501
29 O 0.2868 0.5556 0.6067
30 O 0.2868 0.9444 0.1067
31 O 0.2900 0.5290 0.2730
32 O 0.2900 0.9710 0.7730
33 O 0.3126 0.1740 0.6339
34 O 0.3126 0.3260 0.1339
35 O 0.3710 0.0785 0.3765
36 O 0.3710 0.4215 0.8765
37 O 0.3718 0.7038 0.4593
38 O 0.3718 0.7962 0.9593
39 O 0.6282 0.2038 0.0407
40 O 0.6282 0.2962 0.5407
41 O 0.6290 0.5785 0.1235
42 O 0.6290 0.9215 0.6235
43 O 0.6874 0.6740 0.8661
44 O 0.6874 0.8260 0.3661
45 O 0.7100 0.0290 0.2270
46 O 0.7100 0.4710 0.7270
47 O 0.7132 0.0556 0.8933
48 O 0.7132 0.4444 0.3933
49 O 0.7610 0.2434 0.8499
50 O 0.7610 0.2566 0.3499
51 O 0.8231 0.6745 0.6196
52 O 0.8231 0.8255 0.1196
53 O 0.9379 0.0750 0.5886
54 O 0.9379 0.4250 0.0886
55 O 0.9986 0.6564 0.3920
56 O 0.9986 0.8436 0.8920



Record 4
Entry from the Alexandria database: crystalline RbGeP2O8 at its relaxed geometry (GGA-PBE).

Results
As for the electronic total energy: -6.591 eV/atom. The uncorrected formation energy is -185 kJ per mole of atoms. The spin magnetization is 1.07 μB/cell.

Lattice parameters (Å, degrees): 4.8850 4.8850 8.6145 90.00 90.00 120.00
Fractional positions:
1 Rb 0.0000 0.0000 0.0000
2 Ge 0.0000 0.0000 0.5000
3 P 0.3333 0.6667 0.6881
4 P 0.6667 0.3333 0.3119
5 O 0.0672 0.3393 0.6302
6 O 0.2721 0.9328 0.6302
7 O 0.3333 0.6667 0.8649
8 O 0.3393 0.2721 0.3698
9 O 0.6607 0.7279 0.6302
10 O 0.6667 0.3333 0.1351
11 O 0.7279 0.0672 0.3698
12 O 0.9328 0.6607 0.3698



Record 5
Entry from the Alexandria database: crystalline RbGePO6 at its relaxed geometry (GGA-PBE).

Results
As for the electronic total energy: -5.948 eV/atom. The uncorrected formation energy is -137 kJ per mole of atoms. The spin magnetization is 2.00 μB/cell.

Lattice parameters (Å, degrees): 4.8371 4.8371 6.4773 90.00 90.00 120.00
Fractional positions:
1 Rb 0.0000 0.0000 0.0000
2 Ge 0.3333 0.6667 0.5000
3 P 0.6667 0.3333 0.5000
4 O 0.3932 0.0341 0.6527
5 O 0.3932 0.3591 0.3473
6 O 0.6409 0.0341 0.3473
7 O 0.6409 0.6068 0.6527
8 O 0.9659 0.3591 0.6527
9 O 0.9659 0.6068 0.3473



Record 6
Entry from the Alexandria database: crystalline ReGePO2 at its relaxed geometry (GGA-PBE).

Results
As for the electronic total energy: -6.321 eV/atom. The uncorrected formation energy is 15 kJ per mole of atoms. The spin magnetization is 1.95 μB/cell. As for the excess energy over the best structure of this formula in the dataset: 0.734 eV per atom.

Lattice parameters (Å, degrees): 3.4868 3.4868 7.0022 90.00 90.00 90.00
Fractional positions:
1 Re 0.0000 0.0000 0.0000
2 Ge 0.5000 0.5000 0.5000
3 P 0.5000 0.5000 0.0000
4 O 0.0000 0.5000 0.5000
5 O 0.5000 0.0000 0.5000



Record 7
Entry from the Alexandria database: crystalline ReGePO2 at its relaxed geometry (GGA-PBE).

Results
As for the electronic total energy: -7.055 eV/atom. The uncorrected formation energy is -56 kJ per mole of atoms. The spin magnetization is 0.00 μB/cell. As for the excess energy over the best structure of this formula in the dataset: 0.000 eV per atom.

Lattice parameters (Å, degrees): 3.8129 3.8129 5.1065 90.00 90.00 90.00
Fractional positions:
1 Re 0.0000 0.0000 0.0000
2 Ge 0.5000 0.5000 0.5000
3 P 0.0000 0.0000 0.5000
4 O 0.0000 0.5000 0.0000
5 O 0.5000 0.0000 0.0000



Record 8
Entry from the Alexandria database: crystalline GeP2RhO at its relaxed geometry (GGA-PBE).

Results
As for the electronic total energy: -5.096 eV/atom. The uncorrected formation energy is 44 kJ per mole of atoms. The spin magnetization is 0.01 μB/cell. As for the excess energy over the best structure of this formula in the dataset: 0.147 eV per atom.

Lattice parameters (Å, degrees): 4.7722 4.7722 3.4690 90.00 90.00 90.00
Fractional positions:
1 Ge 0.0000 0.0000 0.0000
2 P 0.0000 0.5000 0.0000
3 P 0.5000 0.0000 0.0000
4 Rh 0.5000 0.5000 0.5000
5 O 0.0000 0.0000 0.5000



Record 9
Entry from the Alexandria database: crystalline GeP2RhO at its relaxed geometry (GGA-PBE).

Results
As for the electronic total energy: -5.244 eV/atom. The uncorrected formation energy is 30 kJ per mole of atoms. The spin magnetization is 0.00 μB/cell. As for the excess energy over the best structure of this formula in the dataset: 0.000 eV per atom.

Lattice parameters (Å, degrees): 4.8372 4.8372 3.6853 90.00 90.00 90.00
Fractional positions:
1 Ge 0.0000 0.0000 0.0000
2 P 0.0000 0.5000 0.5000
3 P 0.5000 0.0000 0.5000
4 Rh 0.5000 0.5000 0.5000
5 O 0.5000 0.5000 0.0000



Record 10
Entry from the Alexandria database: crystalline GeP2RuO at its relaxed geometry (GGA-PBE).

Results
As for the electronic total energy: -5.758 eV/atom. The uncorrected formation energy is 17 kJ per mole of atoms. The spin magnetization is 0.00 μB/cell. As for the excess energy over the best structure of this formula in the dataset: 0.000 eV per atom.

Lattice parameters (Å, degrees): 4.7909 4.7909 3.6767 90.00 90.00 90.00
Fractional positions:
1 Ge 0.0000 0.0000 0.0000
2 P 0.0000 0.5000 0.5000
3 P 0.5000 0.0000 0.5000
4 Ru 0.5000 0.5000 0.5000
5 O 0.5000 0.5000 0.0000



Record 11
Entry from the Alexandria database: crystalline GeP2RuO at its relaxed geometry (GGA-PBE).

Results
As for the electronic total energy: -5.286 eV/atom. The uncorrected formation energy is 63 kJ per mole of atoms. The spin magnetization is 1.46 μB/cell. As for the excess energy over the best structure of this formula in the dataset: 0.472 eV per atom.

Lattice parameters (Å, degrees): 4.7699 4.7699 3.4835 90.00 90.00 90.00
Fractional positions:
1 Ge 0.0000 0.0000 0.0000
2 P 0.0000 0.5000 0.0000
3 P 0.5000 0.0000 0.0000
4 Ru 0.5000 0.5000 0.5000
5 O 0.0000 0.0000 0.5000



Record 12
Entry from the Alexandria database: crystalline GeP2SO at its relaxed geometry (GGA-PBE).

Results
As for the electronic total energy: -4.417 eV/atom. The uncorrected formation energy is 47 kJ per mole of atoms. The spin magnetization is 0.00 μB/cell. As for the excess energy over the best structure of this formula in the dataset: 0.016 eV per atom.

Lattice parameters (Å, degrees): 4.8358 4.8358 3.5596 90.00 90.00 90.00
Fractional positions:
1 Ge 0.0000 0.0000 0.0000
2 P 0.0000 0.5000 0.0000
3 P 0.5000 0.0000 0.0000
4 S 0.5000 0.5000 0.5000
5 O 0.0000 0.0000 0.5000